# 1
{"formula": "SbWAu2", "functional": "PBE", "state": "relaxed", "energy_ev_per_atom": -5.4422, "raw_formation_energy_ev_per_atom": 0.465, "sg": "R-3m (166)", "lattice_angstrom": [[1.5298, 0.8832, 9.5194], [-1.5298, 0.8832, 9.5194], [0.0000, -1.7665, 9.5194]], "species": ["Sb", "W", "Au", "Au"], "frac_coords": [[0.0000, 0.0000, 0.0000], [0.5000, 0.5000, 0.5000], [0.2440, 0.2440, 0.2440], [0.7560, 0.7560, 0.7560]]}

=====

# 2
{"formula": "ScIBr3", "functional": "PBE", "state": "relaxed", "e_above_lowest_polymorph_mev_per_atom": 117, "energy_ev_per_atom": -3.8006, "raw_formation_energy_ev_per_atom": -1.221, "sg": "C2/c (15)", "lattice_angstrom": [[7.3597, -7.7585, 0.0000], [7.3597, 7.7585, 0.0000], [-0.6615, 0.0000, 6.8610]], "species": ["Sc", "Sc", "Sc", "Sc", "I", "I", "I", "I", "Br", "Br", "Br", "Br", "Br", "Br", "Br", "Br", "Br", "Br", "Br", "Br"], "frac_coords": [[0.0670, 0.9330, 0.7500], [0.2851, 0.7149, 0.2500], [0.7149, 0.2851, 0.7500], [0.9330, 0.0670, 0.2500], [0.3718, 0.4836, 0.0165], [0.4836, 0.3718, 0.5165], [0.5164, 0.6282, 0.4835], [0.6282, 0.5164, 0.9835], [0.0699, 0.1532, 0.5757], [0.1186, 0.7292, 0.9439], [0.1532, 0.0699, 0.0757], [0.1550, 0.5275, 0.3479], [0.2708, 0.8814, 0.5561], [0.4725, 0.8450, 0.1521], [0.5275, 0.1550, 0.8479], [0.7292, 0.1186, 0.4439], [0.8450, 0.4725, 0.6521], [0.8468, 0.9301, 0.9243], [0.8814, 0.2708, 0.0561], [0.9301, 0.8468, 0.4243]]}

=====

# 3
{"formula": "CdAg3H", "functional": "PBE", "state": "relaxed", "e_above_lowest_polymorph_mev_per_atom": 956, "energy_ev_per_atom": -1.4756, "sg": "Pm-3m (221)", "lattice_angstrom": [[5.3063, 0.0000, 0.0000], [0.0000, 5.3063, 0.0000], [0.0000, 0.0000, 5.3063]], "species": ["Cd", "Ag", "Ag", "Ag", "H"], "frac_coords": [[0.0000, 0.0000, 0.0000], [0.0000, 0.0000, 0.5000], [0.0000, 0.5000, 0.0000], [0.5000, 0.0000, 0.0000], [0.5000, 0.5000, 0.5000]]}

=====

Copy entry 2 word for word.
{"formula": "ScIBr3", "functional": "PBE", "state": "relaxed", "e_above_lowest_polymorph_mev_per_atom": 117, "energy_ev_per_atom": -3.8006, "raw_formation_energy_ev_per_atom": -1.221, "sg": "C2/c (15)", "lattice_angstrom": [[7.3597, -7.7585, 0.0000], [7.3597, 7.7585, 0.0000], [-0.6615, 0.0000, 6.8610]], "species": ["Sc", "Sc", "Sc", "Sc", "I", "I", "I", "I", "Br", "Br", "Br", "Br", "Br", "Br", "Br", "Br", "Br", "Br", "Br", "Br"], "frac_coords": [[0.0670, 0.9330, 0.7500], [0.2851, 0.7149, 0.2500], [0.7149, 0.2851, 0.7500], [0.9330, 0.0670, 0.2500], [0.3718, 0.4836, 0.0165], [0.4836, 0.3718, 0.5165], [0.5164, 0.6282, 0.4835], [0.6282, 0.5164, 0.9835], [0.0699, 0.1532, 0.5757], [0.1186, 0.7292, 0.9439], [0.1532, 0.0699, 0.0757], [0.1550, 0.5275, 0.3479], [0.2708, 0.8814, 0.5561], [0.4725, 0.8450, 0.1521], [0.5275, 0.1550, 0.8479], [0.7292, 0.1186, 0.4439], [0.8450, 0.4725, 0.6521], [0.8468, 0.9301, 0.9243], [0.8814, 0.2708, 0.0561], [0.9301, 0.8468, 0.4243]]}